No. 1
Compound: Ho2Tm13
Source: Alexandria via LeMat-Bulk
Functional: PBE-GGA
Structure: optimized geometry

Summary:
* ΔE_f: 56 meV per atom

abc: 6.4768 8.5820 8.8404
angles: 69.19 84.52 80.91
Space group P-1 (No. 2)
Unique sites:
Ho1 0.1982 0.3044 0.3973 [2 per cell]
Tm1 0.0000 0.5000 0.0000 [1 per cell]
Tm2 0.0956 0.9269 0.6916 [2 per cell]
Tm3 0.1348 0.6965 0.2669 [2 per cell]
Tm4 0.2378 0.0755 0.9756 [2 per cell]
Tm5 0.3338 0.4989 0.6672 [2 per cell]
Tm6 0.4295 0.9242 0.3589 [2 per cell]
Tm7 0.4651 0.6966 0.9339 [2 per cell]



No. 2
Compound: Ho3Tm
Source: Alexandria via LeMat-Bulk
Functional: PBE-GGA
Structure: optimized geometry

Summary:
* ΔE_f: 4 meV per atom

abc: 7.1591 7.1591 5.5756
angles: 90.00 90.00 120.00
Space group P6_3/mmc (No. 194)
Unique sites:
Ho1 0.1668 0.3336 0.2500 [6 per cell]
Tm1 0.3333 0.6667 0.7500 [2 per cell]



No. 3
Compound: Ho2Tm5
Source: Alexandria via LeMat-Bulk
Functional: PBE-GGA
Structure: optimized geometry

Summary:
* ΔE_f: -4 meV per atom

abc: 15.3904 6.1732 9.0334
angles: 90.00 96.24 90.00
Space group C2/c (No. 15)
Unique sites:
Ho1 0.0717 0.1672 0.1072 [8 per cell]
Tm1 0.0000 0.3333 0.7500 [4 per cell]
Tm2 0.1434 0.3338 0.4643 [8 per cell]
Tm3 0.2143 0.1665 0.8215 [8 per cell]